Entry 1:
A plane-wave DFT calculation with GGA-PBE was carried out for a relaxed MgCd2Ag crystal.

Lattice parameters (Å, degrees): 4.834 4.834 4.834 60.00 60.00 60.00
Sites, in units of the cell vectors:
1 Mg 0.750 0.750 0.750
2 Ag 0.500 0.500 0.500
3 Cd 0.000 0.000 0.000
4 Cd 0.250 0.250 0.250

Results
N(E_F) = 2.3 states/eV/f.u.
E = -1.646 eV/atom
Mass density = 7.422 g/cm3
Space-group type = No. 216
Energy above the lowest structure with this stoichiometry = 28 meV per atom

***

Entry 2:
A plane-wave DFT calculation with GGA-PBE was carried out for a relaxed DyAlRu crystal.

Lattice parameters (Å, degrees): 3.625 4.349 4.349 120.00 90.00 90.00
Sites, in units of the cell vectors:
1 Ru 0.167 0.333 0.667
2 Al 0.167 0.000 0.000
3 Dy 0.667 0.667 0.333

Results
N(E_F) = 1.7 states/eV/f.u.
E = -6.318 eV/atom
Mass density = 8.127 g/cm3
Space-group type = No. 187

***

Entry 3:
A plane-wave DFT calculation with GGA-PBE was carried out for a relaxed CdAsOs4 crystal.

Lattice parameters (Å, degrees): 5.248 5.248 5.248 60.00 60.00 60.00
Sites, in units of the cell vectors:
1 Cd 0.000 0.000 0.000
2 As 0.750 0.750 0.750
3 Os 0.874 0.375 0.375
4 Os 0.375 0.375 0.874
5 Os 0.375 0.874 0.375
6 Os 0.375 0.375 0.375

Results
N(E_F) = 9.0 states/eV/f.u.
E = -7.535 eV/atom
Mass density = 15.407 g/cm3
Space-group type = No. 216

***

Entry 4:
A plane-wave DFT calculation with GGA-PBE was carried out for a relaxed CuSbRu2 crystal.

Lattice parameters (Å, degrees): 2.915 2.915 7.742 90.00 90.00 90.01
Sites, in units of the cell vectors:
1 Cu 0.500 0.500 0.788
2 Ru 0.000 0.000 0.010
3 Ru 0.500 0.500 0.217
4 Sb 0.000 0.000 0.484

Results
N(E_F) = 3.4 states/eV/f.u.
Energy relative to the elements, uncorrected = 0.3355 eV per atom
E = -6.357 eV/atom
Mass density = 9.778 g/cm3
Space-group type = No. 99

***

Entry 5:
A plane-wave DFT calculation with GGA-PBE was carried out for a relaxed TmZn12Cu6 crystal.

Lattice parameters (Å, degrees): 6.951 6.951 6.951 104.94 104.94 104.94
Sites, in units of the cell vectors:
1 Tm 0.000 0.000 0.000
2 Zn 0.887 0.113 0.500
3 Zn 0.864 0.611 0.611
4 Zn 0.611 0.611 0.864
5 Zn 0.389 0.136 0.389
6 Zn 0.389 0.389 0.136
7 Zn 0.136 0.389 0.389
8 Zn 0.113 0.500 0.887
9 Zn 0.500 0.887 0.113
10 Zn 0.113 0.887 0.500
11 Zn 0.887 0.500 0.113
12 Zn 0.500 0.113 0.887
13 Zn 0.611 0.864 0.611
14 Cu 0.704 0.287 0.287
15 Cu 0.287 0.287 0.704
16 Cu 0.287 0.704 0.287
17 Cu 0.713 0.713 0.296
18 Cu 0.296 0.713 0.713
19 Cu 0.713 0.296 0.713

Results
N(E_F) = 4.1 states/eV/f.u.
E = -2.365 eV/atom
Mass density = 7.539 g/cm3
Space-group type = No. 166

***

Entry 6:
A plane-wave DFT calculation with GGA-PBE was carried out for a relaxed ErSi3Pt crystal.

Lattice parameters (Å, degrees): 4.075 4.083 10.957 100.74 90.00 90.00
Sites, in units of the cell vectors:
1 Er 0.500 0.829 0.657
2 Er 0.500 0.171 0.343
3 Si 0.000 0.054 0.108
4 Si 0.000 0.946 0.892
5 Si 0.000 0.278 0.556
6 Si 0.000 0.722 0.444
7 Si 0.500 0.446 0.892
8 Si 0.500 0.554 0.108
9 Pt 0.000 0.613 0.225
10 Pt 0.000 0.387 0.775

Results
N(E_F) = 1.8 states/eV/f.u.
Energy relative to the elements, uncorrected = -0.7356 eV per atom
E = -6.110 eV/atom
Mass density = 8.280 g/cm3
Space-group type = No. 65